VASP calculation (PBE) on crystalline Sc2SiIr at its relaxed geometry.

Calculated density ... 7.2 g/cm³
Magnetic moment ... 0.0 Bohr magnetons per cell
Electronic total energy ... -7.60 eV per atom
D(E_F) ... 2.3 states/eV/f.u.
Formation energy (no corrections) ... -333 kJ/mol of formula units

The structure in POSCAR format:
```
Sc2SiIr
1.0
-2.3531 -0.5780 3.5302
-2.5584 -0.8533 -1.8450
0.2225 -5.3233 -0.7233
Ir Sc Si
1 2 1
Direct
0.5000 0.5510 0.7743 Ir
0.5000 0.2764 0.3207 Sc
0.0000 0.9761 0.9238 Sc
0.0000 0.6965 0.4812 Si
```

=====

VASP calculation (PBE) on crystalline LaAl2Au2 at its relaxed geometry.

Calculated density ... 9.1 g/cm³
Magnetic moment ... 0.0 Bohr magnetons per cell
Electronic total energy ... -4.49 eV per atom
D(E_F) ... 2.8 states/eV/f.u.
E_form ... -695 meV per atom

The structure in POSCAR format:
```
LaAl2Au2
1.0
4.5416 0.0000 0.0000
0.0000 4.5416 0.0000
2.2708 2.2708 5.1824
Au Al La
2 2 1
Direct
0.7500 0.2500 0.5000 Au
0.2500 0.7500 0.5000 Au
0.6252 0.6252 0.7495 Al
0.3748 0.3748 0.2505 Al
0.0000 0.0000 0.0000 La
```

=====

VASP calculation (PBE) on crystalline Ba2PmUN4 at its relaxed geometry.

Calculated density ... 8.0 g/cm³
Magnetic moment ... 0.0 Bohr magnetons per cell
Electronic total energy ... -7.72 eV per atom
D(E_F) ... 3.0 states/eV/f.u.
Formation energy (no corrections) ... -830 kJ/mol of formula units

The structure in POSCAR format:
```
Ba2PmUN4
1.0
-1.0208 3.2926 1.2524
1.9494 -1.5764 5.7335
5.1924 2.8561 -3.2767
N Ba Pm U
4 2 1 1
Direct
0.0000 0.7704 0.1766 N
0.0000 0.2296 0.8234 N
0.5000 0.2016 0.1781 N
0.5000 0.7984 0.8219 N
0.5000 0.0000 0.5000 Ba
0.0000 0.5000 0.5000 Ba
0.5000 0.5000 0.0000 Pm
0.0000 0.0000 0.0000 U
```

=====

VASP calculation (PBE) on crystalline DyAgSn at its relaxed geometry.

Calculated density ... 8.6 g/cm³
Magnetic moment ... 0.0 Bohr magnetons per cell
Electronic total energy ... -4.12 eV per atom
D(E_F) ... 2.0 states/eV/f.u.
E_form ... -299 meV per atom

The structure in POSCAR format:
```
DyAgSn
1.0
4.8369 0.0000 0.0000
-2.4185 4.1889 0.0000
0.0000 0.0000 7.3963
Sn Dy Ag
2 2 2
Direct
0.6667 0.3333 0.9387 Sn
0.3333 0.6667 0.0613 Sn
0.0000 0.0000 0.2711 Dy
0.0000 0.0000 0.7289 Dy
0.3333 0.6667 0.4839 Ag
0.6667 0.3333 0.5161 Ag
```

=====

VASP calculation (PBE) on crystalline MnFeSb4 at its relaxed geometry.

Calculated density ... 6.2 g/cm³
Magnetic moment ... 9.9 Bohr magnetons per cell
Electronic total energy ... -5.29 eV per atom
D(E_F) ... 4.6 states/eV/f.u.
Formation energy (no corrections) ... 229 kJ/mol of formula units
Energy above the most stable polymorph in this dataset ... 0 meV per atom

The structure in POSCAR format:
```
MnFeSb4
1.0
4.7020 0.0000 0.0000
0.0000 5.3428 0.0000
0.0000 0.0000 12.7566
Sb Fe Mn
8 2 2
Direct
0.8228 0.7296 0.6460 Sb
0.7952 0.2540 0.8416 Sb
0.2048 0.2540 0.1584 Sb
0.1772 0.2704 0.6460 Sb
0.7952 0.7460 0.1584 Sb
0.1772 0.7296 0.3540 Sb
0.2048 0.7460 0.8416 Sb
0.8228 0.2704 0.3540 Sb
0.0000 0.5000 0.0000 Fe
0.0000 0.0000 0.5000 Fe
0.0000 0.0000 0.0000 Mn
0.5000 0.0000 0.5000 Mn
```

=====

VASP calculation (PBE) on crystalline LaNdHo5 at its relaxed geometry.

Calculated density ... 6.2 g/cm³
Magnetic moment ... 0.0 Bohr magnetons per cell
Electronic total energy ... -3.56 eV per atom
D(E_F) ... 10.8 states/eV/f.u.
E_form ... 1098 meV per atom
Energy above the most stable polymorph in this dataset ... 901 meV per atom

The structure in POSCAR format:
```
LaNdHo5
1.0
-0.0887 1.2415 -5.6354
6.9330 -1.5494 -3.4055
-0.0716 -6.5383 -4.3944
Ho Nd La
5 1 1
Direct
0.2531 0.7469 0.7469 Ho
0.7469 0.2531 0.2531 Ho
0.5000 0.8208 0.1792 Ho
0.5000 0.1792 0.8208 Ho
0.0000 0.5000 0.5000 Ho
0.5000 0.5000 0.5000 Nd
0.0000 0.0000 0.0000 La
```

=====

VASP calculation (PBE) on crystalline SiPt2 at its relaxed geometry.

Calculated density ... 15.1 g/cm³
Magnetic moment ... 0.0 Bohr magnetons per cell
Electronic total energy ... -6.28 eV per atom
D(E_F) ... 1.2 states/eV/f.u.
Formation energy (no corrections) ... -130 kJ/mol of formula units

The structure in POSCAR format:
```
SiPt2
1.0
-1.4838 1.4838 10.4561
1.4838 -1.4838 10.4561
1.4838 1.4838 -10.4561
Pt Si
4 2
Direct
0.9331 0.9331 0.0000 Pt
0.8169 0.3169 0.5000 Pt
0.6831 0.1831 0.5000 Pt
0.0669 0.0669 0.0000 Pt
0.5000 0.5000 0.0000 Si
0.2500 0.7500 0.5000 Si
```

=====

VASP calculation (PBE) on crystalline Tb2SmErTm6 at its relaxed geometry.

Calculated density ... 8.8 g/cm³
Magnetic moment ... 0.0 Bohr magnetons per cell
Electronic total energy ... -4.42 eV per atom
D(E_F) ... 13.9 states/eV/f.u.
E_form ... 121 meV per atom

The structure in POSCAR format:
```
Tb2SmErTm6
1.0
8.9934 -2.0432 -2.1204
0.8147 8.4155 -1.9944
0.8147 -2.3049 8.3358
Tm Er Tb Sm
12 2 4 2
Direct
0.6185 0.4936 0.7089 Tm
0.5576 0.7477 0.1257 Tm
0.9424 0.8743 0.2523 Tm
0.3159 0.9799 0.4301 Tm
0.0576 0.1257 0.7477 Tm
0.8815 0.2911 0.5064 Tm
0.1185 0.7089 0.4936 Tm
0.3815 0.5064 0.2911 Tm
0.4424 0.2523 0.8743 Tm
0.1841 0.5699 0.0201 Tm
0.6841 0.0201 0.5699 Tm
0.8159 0.4301 0.9799 Tm
0.7500 0.5911 0.4089 Er
0.2500 0.4089 0.5911 Er
0.5451 0.1967 0.3026 Tb
0.4549 0.8033 0.6974 Tb
0.9549 0.6974 0.8033 Tb
0.0451 0.3026 0.1967 Tb
0.7500 0.0229 0.9771 Sm
0.2500 0.9771 0.0229 Sm
```